Record 1
LiCeHg4 (GGA-PBE, optimized geometry); uncorrected energy = -21.06 eV per cell
1.0
4.515 0.000 0.000
0.000 8.680 0.000
-2.235 0.000 7.509
Li Ce Hg
2 2 8
Cartesian
0.005 2.170 1.979
2.275 6.510 5.530
0.003 6.510 2.530
2.277 2.170 4.979
0.000 0.000 0.000
0.000 4.340 0.000
0.017 4.558 5.055
0.017 8.463 5.055
0.022 2.170 7.384
2.258 6.510 0.125
2.263 0.217 2.455
2.263 4.123 2.455

Record 2
PuPbBr5 (GGA-PBE, optimized geometry); formation energy without anion corrections = -1.203 eV/atom; uncorrected energy = -69.65 eV per cell
1.0
5.557 -5.278 0.000
5.557 5.278 0.000
-4.890 0.000 9.991
Pu Pb Br
2 2 10
Cartesian
2.779 2.639 0.000
0.334 -2.639 4.995
1.890 4.397 7.493
4.335 -4.397 2.498
0.292 2.198 8.515
-0.096 0.169 5.220
4.335 2.823 2.498
2.349 -0.169 0.225
3.488 2.198 6.472
2.737 -2.198 3.519
3.876 0.169 9.766
1.890 -2.823 7.493
6.321 -0.169 4.771
5.933 -2.198 1.476

Record 3
MgReRu2 (GGA-PBE, optimized geometry); uncorrected energy = -31.91 eV per cell
1.0
2.773 0.000 0.000
0.000 4.126 0.000
-0.014 0.000 5.179
Mg Re Ru
1 1 2
Cartesian
0.000 0.000 0.000
1.381 2.063 1.443
1.370 2.063 4.136
2.756 0.000 2.578

Record 4
Tb2HfGa3Pt4 (GGA-PBE, optimized geometry); uncorrected energy = -62.24 eV per cell
1.0
4.120 0.000 0.000
0.000 4.120 0.000
0.000 0.000 11.405
Tb Hf Ga Pt
2 1 3 4
Cartesian
0.000 2.060 2.670
2.060 0.000 8.735
0.000 0.000 5.702
0.000 2.060 9.902
2.060 0.000 1.502
2.060 2.060 5.702
0.000 0.000 0.000
0.000 2.060 7.417
2.060 0.000 3.988
2.060 2.060 0.000

Record 5
Tc2Os2Ru5 (GGA-PBE, optimized geometry); uncorrected energy = -88.82 eV per cell
1.0
4.296 -1.920 0.000
4.296 1.920 0.000
-2.589 0.000 7.731
Tc Os Ru
2 2 5
Cartesian
1.278 0.000 0.439
4.725 0.000 7.292
0.452 0.000 3.018
5.551 0.000 4.713
-0.442 0.000 5.577
3.872 0.000 1.269
3.001 0.000 3.865
2.131 0.000 6.461
6.445 0.000 2.154

Record 6
Fe2PtRh (GGA-PBE, optimized geometry); uncorrected energy = -30.78 eV per cell
1.0
2.719 0.000 0.000
0.000 2.719 0.000
0.000 0.000 7.408
Fe Pt Rh
2 1 1
Cartesian
0.000 0.000 1.813
0.000 0.000 5.594
1.360 1.360 3.704
1.360 1.360 0.000

Record 7
VCrBr3 (GGA-PBE, optimized geometry); formation energy without anion corrections = -0.047 eV/atom; uncorrected energy = -24.00 eV per cell
1.0
5.163 0.000 0.000
0.000 5.163 0.000
0.000 0.000 5.163
V Cr Br
1 1 3
Cartesian
0.000 0.000 0.000
2.582 2.582 2.582
0.000 0.000 2.582
0.000 2.582 0.000
2.582 0.000 0.000

Record 8
TiNiSn3 (GGA-PBE, optimized geometry); uncorrected energy = -23.52 eV per cell
1.0
4.923 0.000 0.000
0.000 4.923 0.000
0.000 0.000 4.923
Ti Ni Sn
1 1 3
Cartesian
0.000 0.000 0.000
2.461 2.461 2.461
0.000 2.461 2.461
2.461 0.000 2.461
2.461 2.461 0.000